# 1
Below is a relaxed structure of RhAuSCl2, with properties calculated at the PBE-GGA level.

abc: 4.869 4.869 5.042
angles: 90.00 90.00 90.00
Last column: magnetic moment on the atom in μB.
Positions (direct):
S 0.000 0.000 0.500  0.16
Cl 0.000 0.500 0.000  0.03
Rh 0.500 0.500 0.500  1.81
Cl 0.500 0.000 0.000  0.03
Au 0.000 0.000 0.000  0.02

Values from the calculation:
Energy relative to the lowest polymorph listed for this composition ... 527.6 meV/atom
E ... -2.8895 eV per atom
Raw formation energy ... 0.800 eV per atom
Magnetic moment ... 2.33 μB/f.u.


# 2
Below is a relaxed structure of Mg2CuAs, with properties calculated at the PBE-GGA level.

abc: 5.618 5.618 7.876
angles: 69.10 69.10 90.00
Positions (direct):
As 0.000 0.000 0.000
Cu 0.500 0.500 0.000
Mg 0.375 0.356 0.750
Mg 0.106 0.625 0.250
As 0.750 0.250 0.500
Mg 0.875 0.894 0.750
Mg 0.644 0.125 0.250
Cu 0.250 0.750 0.500

Values from the calculation:
E ... -2.8107 eV per atom
Magnetic moment ... 0.00 μB/f.u.
Energy of formation ... 66.8 kJ/mol of formula units


# 3
Below is a relaxed structure of AcLa9Th2, with properties calculated at the PBE-GGA level.

abc: 5.223 5.223 15.779
angles: 90.00 90.00 90.00
Positions (direct):
La 0.500 0.000 0.500
Th 0.000 0.000 0.663
La 0.500 0.000 0.177
La 0.500 0.500 0.336
La 0.500 0.000 0.823
La 0.500 0.500 0.000
La 0.000 0.500 0.500
La 0.000 0.500 0.177
Th 0.000 0.000 0.337
Ac 0.000 0.000 0.000
La 0.000 0.500 0.823
La 0.500 0.500 0.664

Values from the calculation:
E ... -5.2449 eV per atom
Magnetic moment ... 0.00 μB/f.u.
Energy of formation ... 34.4 kJ/mol of formula units


# 4
Below is a relaxed structure of Li2ScAu2, with properties calculated at the PBE-GGA level.

abc: 3.065 3.746 7.665
angles: 75.85 90.00 90.00
Positions (direct):
Au 0.500 0.389 0.222
Au 0.500 0.611 0.778
Li 0.000 0.199 0.603
Li 0.000 0.801 0.397
Sc 0.000 0.000 0.000

Values from the calculation:
Energy relative to the lowest polymorph listed for this composition ... 0.0 meV/atom
E ... -3.8842 eV per atom
Magnetic moment ... 0.00 μB/f.u.
Energy of formation ... -261.2 kJ/mol of formula units